No. 1
The following is a DFT calculation (PBE) of HfTe2AuI after structural relaxation.

Calculated values
Electronic total energy ... -4.09 eV per atom
Formation energy without anion corrections ... 0.122 eV/atom

```
data_HfTe2AuI
_cell_length_a 5.570
_cell_length_b 5.570
_cell_length_c 5.609
_cell_angle_alpha 90.00
_cell_angle_beta 90.00
_cell_angle_gamma 90.00
_space_group_name_H-M_alt 'P 1'
_space_group_IT_number 1
loop_
_space_group_symop_operation_xyz
'x,y,z'
loop_
_atom_site_label
_atom_site_fract_x
_atom_site_fract_y
_atom_site_fract_z
Hf1 0.000 0.000 0.000
Te1 0.000 0.500 0.000
I1 0.000 0.000 0.500
Au1 0.500 0.500 0.500
Te2 0.500 0.000 0.000
```

=====

No. 2
The following is a DFT calculation (PBE) of HfVAu2I after structural relaxation.

Calculated values
Electronic total energy ... -4.55 eV per atom
Formation energy without anion corrections ... 0.882 eV/atom

```
data_HfVAu2I
_cell_length_a 4.979
_cell_length_b 4.946
_cell_length_c 4.979
_cell_angle_alpha 90.00
_cell_angle_beta 90.00
_cell_angle_gamma 90.00
_space_group_name_H-M_alt 'P 1'
_space_group_IT_number 1
loop_
_space_group_symop_operation_xyz
'x,y,z'
loop_
_atom_site_label
_atom_site_fract_x
_atom_site_fract_y
_atom_site_fract_z
Au1 0.000 0.000 0.500
I1 0.000 0.500 0.000
Au2 0.500 0.000 0.000
V1 0.000 0.000 0.000
Hf1 0.500 0.500 0.500
```

=====

Number 1: calculated volume 34.81 A^3/atom. Number 2: calculated volume 24.52 A^3/atom.